Record 1
Compound: Fe2Ni7Pt3
Source: Alexandria
Functional: PBE-GGA
Structure: optimized geometry

## Properties
E_tot ... -6.143 eV per atom
Formation energy from the elements ... 0.150 eV/atom

Cell: 2.6491 4.1121 14.8227 Å, 90.00 95.14 90.00°
Space group P2/m (No. 10)
Symmetry-distinct sites (fractional):
Fe 0.1387 0.0000 0.2768
Ni 0.0862 0.5000 0.1721
Ni 0.2166 0.0000 0.4333
Ni 0.4276 0.0000 0.8554
Ni 0.5000 0.5000 0.0000
Pt 0.0000 0.0000 0.0000
Pt 0.3271 0.5000 0.6545

=====

Record 2
Compound: Tb4DySb2
Source: Alexandria
Functional: PBE-GGA
Structure: optimized geometry

## Properties
E_tot ... -4.270 eV per atom

Cell: 5.2670 5.2670 16.5408 Å, 90.00 90.00 90.00°
Space group I4/mmm (No. 139)
Symmetry-distinct sites (fractional):
Tb 0.0000 0.0000 0.1838
Tb 0.0000 0.5000 0.0000
Dy 0.0000 0.0000 0.0000
Sb 0.0000 0.0000 0.3668

=====

Record 3
Compound: PrHo5Tl6
Source: Alexandria
Functional: PBE-GGA
Structure: optimized geometry

## Properties
E_tot ... -3.823 eV per atom
Excess energy over the best structure of this formula in the dataset ... 0 meV per atom
Formation energy from the elements ... -0.334 eV/atom

Cell: 9.2903 16.1881 5.3848 Å, 90.00 125.25 90.00°
Space group C2/m (No. 12)
Symmetry-distinct sites (fractional):
Pr 0.0000 0.0000 0.0000
Ho 0.0000 0.1633 0.5000
Ho 0.0000 0.3325 0.0000
Ho 0.0000 0.5000 0.5000
Tl 0.2395 0.5000 0.2394
Tl 0.2449 0.3299 0.7448

=====

> Which formula does entry 1 have?

Fe2Ni7Pt3